Computed, not measured: a relaxed CsIn3Au crystal at the GGA-PBE level of DFT.

Summary:
V, Å³ per atom: 57.7
Energy of formation from the pure elements, meV/atom: 1207
Polymorph energy (0 for the lowest one), meV per atom: 1379
Uncorrected energy, eV/atom: -1.26
Space-group type: Pm-3m
Crystal system: cubic

abc: 6.607 6.607 6.607
angles: 90.00 90.00 90.00
Positions (direct):
Cs 0.000 0.000 0.000
Au 0.500 0.500 0.500
In 0.000 0.500 0.000
In 0.000 0.000 0.500
In 0.500 0.000 0.000